1.
VASP calculation (PBE-GGA) on a relaxed Th8Ge3Te4S crystal.

Summary:
- crystal system = trigonal
- formation energy without anion corrections (eV per atom) = -1.12
- DFT total energy (eV for the cell shown) = -107.801

Lattice parameters (Å, degrees): 8.8892 8.8892 8.8892 57.78 57.78 57.78
Fractional coordinates of all 16 atoms:
Th1 0.2392 0.2392 0.2392
Th2 0.2487 0.7317 0.7317
Th3 0.2683 0.2683 0.7513
Th4 0.2683 0.7513 0.2683
Th5 0.7317 0.2487 0.7317
Th6 0.7317 0.7317 0.2487
Th7 0.7513 0.2683 0.2683
Th8 0.7608 0.7608 0.7608
Ge1 0.0000 0.0000 0.5000
Ge2 0.0000 0.5000 0.0000
Ge3 0.5000 0.0000 0.0000
Te1 0.0000 0.0000 0.0000
Te2 0.0000 0.5000 0.5000
Te3 0.5000 0.0000 0.5000
Te4 0.5000 0.5000 0.0000
S1 0.5000 0.5000 0.5000

=====

2.
VASP calculation (PBE-GGA) on a relaxed Li2CaTe crystal.

Summary:
- crystal system = cubic
- formation energy without anion corrections (eV per atom) = -0.48
- DFT total energy (eV for the cell shown) = -43.602

Lattice parameters (Å, degrees): 7.4240 7.4240 7.4240 90.00 90.00 90.00
Fractional coordinates of all 16 atoms:
Li1 0.0000 0.0000 0.0000
Li2 0.0000 0.5000 0.5000
Li3 0.2500 0.2500 0.2500
Li4 0.2500 0.7500 0.7500
Li5 0.5000 0.0000 0.5000
Li6 0.5000 0.5000 0.0000
Li7 0.7500 0.2500 0.7500
Li8 0.7500 0.7500 0.2500
Ca1 0.2500 0.2500 0.7500
Ca2 0.2500 0.7500 0.2500
Ca3 0.7500 0.2500 0.2500
Ca4 0.7500 0.7500 0.7500
Te1 0.0000 0.0000 0.5000
Te2 0.0000 0.5000 0.0000
Te3 0.5000 0.0000 0.0000
Te4 0.5000 0.5000 0.5000

=====

3.
VASP calculation (PBE-GGA) on a relaxed ScAsSe2F crystal.

Summary:
- energy above the most stable polymorph in this dataset (meV/atom) = 129
- crystal system = tetragonal
- formation energy without anion corrections (eV per atom) = -0.23
- DFT total energy (eV for the cell shown) = -20.979

Lattice parameters (Å, degrees): 5.0191 5.0191 5.2286 90.00 90.00 90.00
Fractional coordinates of all 5 atoms:
Sc1 0.0000 0.0000 0.0000
As1 0.0000 0.0000 0.5000
Se1 0.0000 0.5000 0.0000
Se2 0.5000 0.0000 0.0000
F1 0.5000 0.5000 0.5000

=====

Question: DFT total energy of number 2 (Li2CaTe)?
Answer: -43.602 eV for the cell shown